1.
The following is a PBE-GGA calculation of crystalline AsSeIN2 at its relaxed geometry, from Alexandria.

Summary:
Uncorrected formation energy = 1705 meV per atom
DFT total energy = -3.562 eV/atom
Distance to the lowest polymorph of the same formula = 0.329 eV per atom

Cell: 3.897 3.897 8.094 Å, 90.00 90.00 90.00°
Fractional positions:
As 0.000 0.000 0.000
Se 0.500 0.500 0.500
I 0.500 0.500 0.000
N 0.000 0.500 0.500
N 0.500 0.000 0.500

2.
The following is a PBE-GGA calculation of crystalline NdErSc at its relaxed geometry, from Alexandria.

Summary:
DFT total energy = -4.416 eV/atom
Formation energy from the elements = 0.80 eV/atom
Distance to the lowest polymorph of the same formula = 0.751 eV per atom

Cell: 8.028 8.028 3.351 Å, 90.00 90.00 93.08°
Fractional positions:
Nd 0.000 0.000 0.000
Nd 0.500 0.500 0.500
Er 0.237 0.763 0.500
Er 0.763 0.237 0.500
Sc 0.263 0.263 0.000
Sc 0.737 0.737 0.000

3.
The following is a PBE-GGA calculation of crystalline Cr2GeMoH at its relaxed geometry, from Alexandria.

Summary:
DFT total energy = -7.518 eV/atom
Distance to the lowest polymorph of the same formula = 0.000 eV per atom

Cell: 3.835 3.835 3.869 Å, 90.00 90.00 90.00°
Fractional positions:
Cr 0.000 0.500 0.000
Cr 0.500 0.000 0.000
Ge 0.000 0.000 0.500
Mo 0.500 0.500 0.500
H 0.500 0.500 0.000

4.
The following is a PBE-GGA calculation of crystalline SrThCu2 at its relaxed geometry, from Alexandria.

Summary:
DFT total energy = -4.351 eV/atom
Formation energy from the elements = -0.03 eV/atom
Distance to the lowest polymorph of the same formula = 0.000 eV per atom

Cell: 3.671 3.671 7.444 Å, 90.00 90.00 90.00°
Fractional positions:
Sr 0.000 0.000 0.000
Th 0.000 0.000 0.500
Cu 0.500 0.500 0.297
Cu 0.500 0.500 0.703

5.
The following is a PBE-GGA calculation of crystalline Nb12Al3Re at its relaxed geometry, from Alexandria.

Summary:
DFT total energy = -9.250 eV/atom
Formation energy from the elements = -0.22 eV/atom

Cell: 5.210 5.218 10.360 Å, 90.00 90.00 90.00°
Fractional positions:
Nb 0.000 0.000 0.122
Nb 0.000 0.000 0.373
Nb 0.000 0.000 0.627
Nb 0.000 0.000 0.878
Nb 0.251 0.500 0.500
Nb 0.253 0.500 0.000
Nb 0.500 0.247 0.247
Nb 0.500 0.247 0.753
Nb 0.500 0.753 0.247
Nb 0.500 0.753 0.753
Nb 0.747 0.500 0.000
Nb 0.749 0.500 0.500
Al 0.000 0.500 0.252
Al 0.000 0.500 0.748
Al 0.500 0.000 0.500
Re 0.500 0.000 0.000

6.
The following is a PBE-GGA calculation of crystalline InTcIr2 at its relaxed geometry, from Alexandria.

Summary:
DFT total energy = -7.470 eV/atom
Formation energy from the elements = 0.24 eV/atom

Cell: 5.693 5.693 5.693 Å, 151.37 131.54 57.26°
Fractional positions:
In 0.000 0.000 0.000
Tc 0.719 0.219 0.500
Ir 0.266 0.766 0.500
Ir 0.498 0.498 0.000

7.
The following is a PBE-GGA calculation of crystalline BaTl2IBr4 at its relaxed geometry, from Alexandria.

Summary:
Uncorrected formation energy = -1056 meV per atom
DFT total energy = -2.918 eV/atom

Cell: 9.542 9.542 9.798 Å, 116.40 116.40 93.89°
Fractional positions:
Ba 0.000 0.000 0.000
Ba 0.000 0.000 0.500
Tl 0.000 0.500 0.000
Tl 0.500 0.000 0.500
Tl 0.500 0.500 0.000
Tl 0.500 0.500 0.500
I 0.000 0.500 0.500
I 0.500 0.000 0.000
Br 0.200 0.243 0.944
Br 0.217 0.738 0.448
Br 0.243 0.200 0.444
Br 0.262 0.783 0.052
Br 0.738 0.217 0.948
Br 0.757 0.800 0.556
Br 0.783 0.262 0.552
Br 0.800 0.757 0.056

8.
The following is a PBE-GGA calculation of crystalline DyTmRu at its relaxed geometry, from Alexandria.

Summary:
DFT total energy = -6.492 eV/atom
Formation energy from the elements = -0.38 eV/atom
Distance to the lowest polymorph of the same formula = 0.001 eV per atom

Cell: 6.749 3.385 12.865 Å, 90.00 90.00 90.00°
Fractional positions:
Dy 0.126 0.250 0.122
Dy 0.374 0.750 0.622
Dy 0.626 0.250 0.378
Dy 0.874 0.750 0.878
Tm 0.125 0.250 0.376
Tm 0.375 0.750 0.876
Tm 0.625 0.250 0.124
Tm 0.875 0.750 0.624
Ru 0.125 0.250 0.750
Ru 0.375 0.750 0.250
Ru 0.625 0.250 0.750
Ru 0.875 0.750 0.250

9.
The following is a PBE-GGA calculation of crystalline HfZnWAu2 at its relaxed geometry, from Alexandria.

Summary:
DFT total energy = -4.955 eV/atom
Formation energy from the elements = 1.19 eV/atom

Cell: 4.954 4.954 4.733 Å, 90.00 90.00 90.00°
Fractional positions:
Hf 0.000 0.000 0.000
Zn 0.500 0.500 0.000
W 0.500 0.500 0.500
Au 0.000 0.500 0.500
Au 0.500 0.000 0.500

10.
The following is a PBE-GGA calculation of crystalline Ti2AsW2 at its relaxed geometry, from Alexandria.

Summary:
DFT total energy = -8.896 eV/atom
Formation energy from the elements = 0.37 eV/atom
Distance to the lowest polymorph of the same formula = 0.000 eV per atom

Cell: 7.739 7.739 7.739 Å, 153.48 153.48 37.86°
Fractional positions:
Ti 0.096 0.096 0.000
Ti 0.904 0.904 0.000
As 0.500 0.500 0.000
W 0.250 0.750 0.500
W 0.750 0.250 0.500

11.
The following is a PBE-GGA calculation of crystalline Ca2Tl2Pb at its relaxed geometry, from Alexandria.

Summary:
DFT total energy = -2.547 eV/atom
Formation energy from the elements = -0.06 eV/atom
Distance to the lowest polymorph of the same formula = 0.272 eV per atom

Cell: 7.555 7.555 7.555 Å, 140.99 140.99 56.35°
Fractional positions:
Ca 0.250 0.750 0.500
Ca 0.750 0.250 0.500
Tl 0.104 0.104 0.000
Tl 0.896 0.896 0.000
Pb 0.500 0.500 0.000

12.
The following is a PBE-GGA calculation of crystalline CuGeBiSe2 at its relaxed geometry, from Alexandria.

Summary:
Uncorrected formation energy = 275 meV per atom
DFT total energy = -3.637 eV/atom

Cell: 5.038 5.038 4.531 Å, 90.00 90.00 90.00°
Fractional positions:
Cu 0.000 0.000 0.000
Ge 0.000 0.000 0.500
Bi 0.500 0.500 0.500
Se 0.000 0.500 0.000
Se 0.500 0.000 0.000